A plane-wave DFT calculation with GGA-PBE was carried out for crystalline Ir6Os2Rh at its relaxed geometry.

a = 4.293 Å, b = 5.317 Å, c = 12.841 Å
α = 90.00°, β = 109.49°, γ = 90.00°
Positions (direct):
Ir 0.092 0.143 0.092
Ir 0.092 0.357 0.592
Ir 0.116 0.630 0.116
Ir 0.116 0.870 0.616
Ir 0.337 0.106 0.837
Ir 0.337 0.394 0.337
Ir 0.663 0.606 0.663
Ir 0.663 0.894 0.163
Ir 0.884 0.130 0.384
Ir 0.884 0.370 0.884
Ir 0.908 0.643 0.408
Ir 0.908 0.857 0.908
Os 0.294 0.608 0.795
Os 0.294 0.892 0.295
Os 0.706 0.108 0.705
Os 0.706 0.392 0.205
Rh 0.500 0.000 0.500
Rh 0.500 0.500 0.000

## Properties
Formation energy (eV/f.u.): 3.1
Uncorrected energy (eV/atom): -8.87
Density of states at the Fermi level (states/eV/atom): 1.159

---

A plane-wave DFT calculation with GGA-PBE was carried out for crystalline CaPdRh3 at its relaxed geometry.

a = 4.810 Å, b = 4.810 Å, c = 4.810 Å
α = 90.00°, β = 90.00°, γ = 90.00°
Positions (direct):
Ca 0.000 0.000 0.000
Pd 0.500 0.500 0.500
Rh 0.000 0.500 0.500
Rh 0.500 0.000 0.500
Rh 0.500 0.500 0.000

## Properties
Formation energy (eV/f.u.): 4.1
Uncorrected energy (eV/atom): -5.03
Density of states at the Fermi level (states/eV/atom): 1.855